First-principles (GGA-PBE) data for an optimized crystal structure of BaSr2O3, as listed in Alexandria.

abc: 6.563 6.563 6.563
angles: 146.66 131.73 59.93
Atoms (fractional coordinates):
1 Ba 0.000 0.000 0.000
2 Sr 0.331 0.331 0.000
3 Sr 0.669 0.669 0.000
4 O 0.178 0.678 0.500
5 O 0.500 0.000 0.500
6 O 0.822 0.322 0.500

Results
energy relative to the lowest polymorph listed for this composition	0	meV per atom
DOS at the Fermi energy	0.0	states/eV/f.u.
formation energy without anion corrections	-60.4	kcal/mol of atoms